No. 1
A PBEsol-optimized structure of FeSb2P, computed with meta-GGA SCAN.

a = 3.259 Å, b = 4.782 Å, c = 4.782 Å
α = 90.00°, β = 90.00°, γ = 90.00°
Last column: magnetic moment on the atom in μB.
Atoms (fractional coordinates):
1 Fe 0.500 0.500 0.500  3.04
2 P 0.500 0.000 0.000  0.05
3 Sb 0.000 0.000 0.500  0.01
4 Sb 0.000 0.500 0.000  0.01

Results
E: -100.525 eV per cell


No. 2
A PBEsol-optimized structure of Sr2FeSbP, computed with meta-GGA SCAN.

a = 4.717 Å, b = 6.067 Å, c = 6.067 Å
α = 90.00°, β = 90.00°, γ = 90.00°
Last column: magnetic moment on the atom in μB.
Atoms (fractional coordinates):
1 Sb 0.000 0.000 0.000  0.04
2 Fe 0.500 0.000 0.000  3.01
3 P 0.500 0.500 0.500  0.34
4 Sr 0.000 0.000 0.500  0.01
5 Sr 0.000 0.500 0.000  0.01

Results
E: -110.071 eV per cell


No. 3
A PBEsol-optimized structure of FeSb2TeP, computed with meta-GGA SCAN.

a = 5.120 Å, b = 5.120 Å, c = 5.021 Å
α = 90.00°, β = 90.00°, γ = 90.00°
Last column: magnetic moment on the atom in μB.
Atoms (fractional coordinates):
1 Sb 0.000 0.500 0.000  -0.05
2 Sb 0.500 0.000 0.000  -0.05
3 Te 0.000 0.000 0.500  -0.04
4 Fe 0.500 0.500 0.500  3.45
5 P 0.000 0.000 0.000  -0.03

Results
Offset from the most stable computed form: 0.3051 eV/atom


No. 4
A PBEsol-optimized structure of FeSb2TeP, computed with meta-GGA SCAN.

a = 4.928 Å, b = 4.793 Å, c = 4.793 Å
α = 90.00°, β = 90.00°, γ = 90.00°
Last column: magnetic moment on the atom in μB.
Atoms (fractional coordinates):
1 Sb 0.000 0.000 0.500  0.03
2 Sb 0.000 0.500 0.000  0.03
3 Te 0.500 0.000 0.000  0.14
4 Fe 0.000 0.000 0.000  1.78
5 P 0.500 0.500 0.500  -0.15

Results
Offset from the most stable computed form: 0.0000 eV/atom


No. 5
A PBEsol-optimized structure of ScFeP2, computed with meta-GGA SCAN.

a = 3.681 Å, b = 4.369 Å, c = 4.369 Å
α = 72.88°, β = 65.09°, γ = 65.09°
Last column: magnetic moment on the atom in μB.
Atoms (fractional coordinates):
1 Fe 0.500 0.000 0.000  1.18
2 P 0.198 0.802 0.802  0.00
3 P 0.802 0.198 0.198  0.00
4 Sc 0.000 0.500 0.500  -0.08

Results
Calculated formation energy: -0.56 eV per atom
Offset from the most stable computed form: 0.0000 eV/atom


No. 6
A PBEsol-optimized structure of ScFeP, computed with meta-GGA SCAN.

a = 3.447 Å, b = 3.799 Å, c = 3.799 Å
α = 120.00°, β = 90.00°, γ = 90.00°
Last column: magnetic moment on the atom in μB.
Atoms (fractional coordinates):
1 Fe 0.000 0.000 0.000  1.98
2 P 0.000 0.333 0.667  0.03
3 Sc 0.500 0.667 0.333  -0.05

Results
Calculated formation energy: -0.86 eV per atom


What did the fifth record say?
A PBEsol-optimized structure of ScFeP2, computed with meta-GGA SCAN.

a = 3.681 Å, b = 4.369 Å, c = 4.369 Å
α = 72.88°, β = 65.09°, γ = 65.09°
Last column: magnetic moment on the atom in μB.
Atoms (fractional coordinates):
1 Fe 0.500 0.000 0.000  1.18
2 P 0.198 0.802 0.802  0.00
3 P 0.802 0.198 0.198  0.00
4 Sc 0.000 0.500 0.500  -0.08

Results
Calculated formation energy: -0.56 eV per atom
Offset from the most stable computed form: 0.0000 eV/atom